No. 1
# PbBr2Cl5, optimized geometry, DFT PBE-GGA
# volume = 31.47 Å³/atom
# formation energy from raw total energies = -168.5 meV per atom
# total magnetization = 0.089 μB/atom
data_PbBr2Cl5
_chemical_formula_sum 'Pb2 Br4 Cl10'
_symmetry_space_group_name_H-M 'C 1 m 1'
_symmetry_Int_Tables_number 8
_cell_length_a 5.155
_cell_length_b 13.977
_cell_length_c 7.440
_cell_angle_alpha 90.00
_cell_angle_beta 110.08
_cell_angle_gamma 90.00
loop_
_symmetry_equiv_pos_as_xyz
'x,y,z'
'x,-y,z'
'x+1/2,y+1/2,z'
'x+1/2,-y+1/2,z'
loop_
_atom_site_label
_atom_site_type_symbol
_atom_site_fract_x
_atom_site_fract_y
_atom_site_fract_z
Pb1 Pb 0.000 0.000 0.000
Br1 Br 0.494 0.250 0.500
Cl1 Cl 0.000 0.236 0.000
Cl2 Cl 0.000 0.500 0.000
Cl3 Cl 0.236 0.000 0.472
Cl4 Cl 0.265 0.500 0.528



No. 2
# Pb2Br3Cl, optimized geometry, DFT PBE-GGA
# volume = 38.01 Å³/atom
# formation energy from raw total energies = -968.7 meV per atom
# energy above the lowest structure with this stoichiometry = 0.035 eV per formula unit
# total magnetization = 0.000 μB/atom
data_Pb2Br3Cl
_chemical_formula_sum 'Pb8 Br12 Cl4'
_symmetry_space_group_name_H-M 'C 1 2/m 1'
_symmetry_Int_Tables_number 12
_cell_length_a 18.384
_cell_length_b 4.471
_cell_length_c 13.404
_cell_angle_alpha 90.00
_cell_angle_beta 124.11
_cell_angle_gamma 90.00
loop_
_symmetry_equiv_pos_as_xyz
'x,y,z'
'-x,-y,-z'
'-x,y,-z'
'x,-y,z'
'x+1/2,y+1/2,z'
'-x+1/2,-y+1/2,-z'
'-x+1/2,y+1/2,-z'
'x+1/2,-y+1/2,z'
loop_
_atom_site_label
_atom_site_type_symbol
_atom_site_fract_x
_atom_site_fract_y
_atom_site_fract_z
Pb1 Pb 0.123 0.000 0.381
Pb2 Pb 0.125 0.500 0.863
Br1 Br 0.061 0.500 0.193
Br2 Br 0.177 0.000 0.047
Br3 Br 0.192 0.500 0.571
Cl1 Cl 0.058 0.000 0.688



No. 3
# Pb2BrCl, optimized geometry, DFT PBE-GGA
# volume = 28.68 Å³/atom
# formation energy from raw total energies = -535.5 meV per atom
# energy above the lowest structure with this stoichiometry = 0.034 eV per formula unit
# total magnetization = 0.000 μB/atom
data_Pb2BrCl
_chemical_formula_sum 'Pb6 Br3 Cl3'
_symmetry_space_group_name_H-M 'R -3 m'
_symmetry_Int_Tables_number 166
_symmetry_space_group_name_Hall '-R 3 2"'
_cell_length_a 3.6802
_cell_length_b 3.6802
_cell_length_c 29.3458
_cell_angle_alpha 90.00
_cell_angle_beta 90.00
_cell_angle_gamma 120.00
loop_
_atom_site_label
_atom_site_type_symbol
_atom_site_fract_x
_atom_site_fract_y
_atom_site_fract_z
Pb1 Pb 0.0000 0.0000 0.2478
Br1 Br 0.0000 0.0000 0.0000
Cl1 Cl 0.0000 0.0000 0.5000



No. 4
# PtPbBrCl2, optimized geometry, DFT PBE-GGA
# volume = 30.49 Å³/atom
# formation energy from raw total energies = 272.8 meV per atom
# total magnetization = 0.110 μB/atom
data_PtPbBrCl2
_chemical_formula_sum 'Pt1 Pb1 Br1 Cl2'
_symmetry_space_group_name_H-M 'P 4/m m m'
_symmetry_Int_Tables_number 123
_symmetry_space_group_name_Hall '-P 4 2'
_cell_length_a 5.255
_cell_length_b 5.255
_cell_length_c 5.522
_cell_angle_alpha 90.00
_cell_angle_beta 90.00
_cell_angle_gamma 90.00
loop_
_atom_site_label
_atom_site_type_symbol
_atom_site_fract_x
_atom_site_fract_y
_atom_site_fract_z
Pt1 Pt 0.000 0.000 0.000
Pb1 Pb 0.000 0.000 0.500
Br1 Br 0.500 0.500 0.000
Cl1 Cl 0.000 0.500 0.500



No. 5
# PtPbBrCl6, optimized geometry, DFT PBE-GGA
# volume = 33.93 Å³/atom
# formation energy from raw total energies = -499.8 meV per atom
# total magnetization = 0.117 μB/atom
data_PtPbBrCl6
_chemical_formula_sum 'Pt2 Pb2 Br2 Cl12'
_symmetry_space_group_name_H-M 'C 1 2 1'
_symmetry_Int_Tables_number 5
_cell_length_a 6.960
_cell_length_b 12.066
_cell_length_c 7.271
_cell_angle_alpha 90.00
_cell_angle_beta 90.10
_cell_angle_gamma 90.00
loop_
_symmetry_equiv_pos_as_xyz
'x,y,z'
'-x,y,-z'
'x+1/2,y+1/2,z'
'-x+1/2,y+1/2,-z'
loop_
_atom_site_label
_atom_site_type_symbol
_atom_site_fract_x
_atom_site_fract_y
_atom_site_fract_z
Pt1 Pt 0.000 0.000 0.000
Pb1 Pb 0.000 0.333 0.000
Br1 Br 0.000 0.667 0.500
Cl1 Cl 0.134 0.862 0.192
Cl2 Cl 0.140 0.136 0.192
Cl3 Cl 0.226 0.502 0.191



No. 6
# Rb2PbBr3Cl, optimized geometry, DFT PBE-GGA
# volume = 42.59 Å³/atom
# formation energy from raw total energies = -1432.5 meV per atom
# total magnetization = 0.000 μB/atom
data_Rb2PbBr3Cl
_chemical_formula_sum 'Rb4 Pb2 Br6 Cl2'
_symmetry_space_group_name_H-M 'I m m m'
_symmetry_Int_Tables_number 71
_symmetry_space_group_name_Hall '-I 2 2'
_cell_length_a 5.682
_cell_length_b 5.936
_cell_length_c 17.680
_cell_angle_alpha 90.00
_cell_angle_beta 90.00
_cell_angle_gamma 90.00
loop_
_atom_site_label
_atom_site_type_symbol
_atom_site_fract_x
_atom_site_fract_y
_atom_site_fract_z
Rb1 Rb 0.000 0.000 0.139
Pb1 Pb 0.000 0.000 0.500
Br1 Br 0.000 0.000 0.329
Br2 Br 0.000 0.500 0.500
Cl1 Cl 0.000 0.500 0.000



No. 7
# Rb3Pb2Br4Cl3, optimized geometry, DFT PBE-GGA
# volume = 40.83 Å³/atom
# formation energy from raw total energies = -1428.2 meV per atom
# total magnetization = 0.000 μB/atom
data_Rb3Pb2Br4Cl3
_chemical_formula_sum 'Rb6 Pb4 Br8 Cl6'
_symmetry_space_group_name_H-M 'I m m 2'
_symmetry_Int_Tables_number 44
_cell_length_a 5.712
_cell_length_b 28.282
_cell_length_c 6.067
_cell_angle_alpha 90.00
_cell_angle_beta 90.00
_cell_angle_gamma 90.00
loop_
_symmetry_equiv_pos_as_xyz
'x,y,z'
'-x,-y,z'
'-x,y,z'
'x,-y,z'
'x+1/2,y+1/2,z+1/2'
'-x+1/2,-y+1/2,z+1/2'
'-x+1/2,y+1/2,z+1/2'
'x+1/2,-y+1/2,z+1/2'
loop_
_atom_site_label
_atom_site_type_symbol
_atom_site_fract_x
_atom_site_fract_y
_atom_site_fract_z
Rb1 Rb 0.000 0.000 0.000
Rb2 Rb 0.000 0.179 0.779
Pb1 Pb 0.000 0.397 0.842
Br1 Br 0.000 0.294 0.942
Br2 Br 0.000 0.408 0.332
Cl1 Cl 0.000 0.107 0.289
Cl2 Cl 0.000 0.500 0.814



No. 8
# Rb2PbBr6Cl, optimized geometry, DFT PBE-GGA
# volume = 40.21 Å³/atom
# formation energy from raw total energies = -868.0 meV per atom
# total magnetization = 0.000 μB/atom
data_Rb2PbBr6Cl
_chemical_formula_sum 'Rb4 Pb2 Br12 Cl2'
_symmetry_space_group_name_H-M 'I 4/m m m'
_symmetry_Int_Tables_number 139
_symmetry_space_group_name_Hall '-I 4 2'
_cell_length_a 8.664
_cell_length_b 8.664
_cell_length_c 10.714
_cell_angle_alpha 90.00
_cell_angle_beta 90.00
_cell_angle_gamma 90.00
loop_
_atom_site_label
_atom_site_type_symbol
_atom_site_fract_x
_atom_site_fract_y
_atom_site_fract_z
Rb1 Rb 0.000 0.500 0.250
Pb1 Pb 0.000 0.000 0.000
Br1 Br 0.000 0.000 0.268
Br2 Br 0.229 0.229 0.000
Cl1 Cl 0.000 0.000 0.500



No. 9
# RbPbBr2Cl, optimized geometry, DFT PBE-GGA
# volume = 39.20 Å³/atom
# formation energy from raw total energies = -1332.5 meV per atom
# energy above the lowest structure with this stoichiometry = 0.000 eV per formula unit
# total magnetization = 0.000 μB/atom
data_RbPbBr2Cl
_chemical_formula_sum 'Rb4 Pb4 Br8 Cl4'
_symmetry_space_group_name_H-M 'I 4/m c m'
_symmetry_Int_Tables_number 140
_symmetry_space_group_name_Hall '-I 4 2c'
_cell_length_a 8.260
_cell_length_b 8.260
_cell_length_c 11.492
_cell_angle_alpha 90.00
_cell_angle_beta 90.00
_cell_angle_gamma 90.00
loop_
_atom_site_label
_atom_site_type_symbol
_atom_site_fract_x
_atom_site_fract_y
_atom_site_fract_z
Rb1 Rb 0.000 0.500 0.250
Pb1 Pb 0.000 0.000 0.000
Br1 Br 0.180 0.320 0.000
Cl1 Cl 0.000 0.000 0.250



No. 10
# RbPbBr2Cl, optimized geometry, DFT PBE-GGA
# volume = 40.73 Å³/atom
# formation energy from raw total energies = -1306.2 meV per atom
# energy above the lowest structure with this stoichiometry = 0.131 eV per formula unit
# total magnetization = 0.000 μB/atom
data_RbPbBr2Cl
_chemical_formula_sum 'Rb1 Pb1 Br2 Cl1'
_symmetry_space_group_name_H-M 'P 4/m m m'
_symmetry_Int_Tables_number 123
_symmetry_space_group_name_Hall '-P 4 2'
_cell_length_a 5.989
_cell_length_b 5.989
_cell_length_c 5.677
_cell_angle_alpha 90.00
_cell_angle_beta 90.00
_cell_angle_gamma 90.00
loop_
_atom_site_label
_atom_site_type_symbol
_atom_site_fract_x
_atom_site_fract_y
_atom_site_fract_z
Rb1 Rb 0.000 0.000 0.000
Pb1 Pb 0.500 0.500 0.500
Br1 Br 0.000 0.500 0.500
Cl1 Cl 0.500 0.500 0.000